# 1
DFT (meta-GGA SCAN) results for As2RhBr at its PBEsol-relaxed geometry.

The space group is Immm (No. 71) and the conventional cell measures 3.001, 4.559 and 10.733 Å, with angles of 90.00, 90.00 and 90.00 degrees. The distinct sites, in fractional coordinates, are As at (0.000, 0.000, 0.195), Rh at (0.000, 0.500, 0.500) and Br at (0.000, 0.500, 0.000).

# 2
DFT (meta-GGA SCAN) results for AsRhBr2 at its PBEsol-relaxed geometry.

The space group is P3m1 (No. 156) and the conventional cell measures 3.6839, 3.6839 and 8.0385 Å, with angles of 90.00, 90.00 and 120.00 degrees. The distinct sites, in fractional coordinates, are As at (0.0000, 0.0000, 0.0000), Rh at (0.3333, 0.6667, 0.1321), Br at (0.0000, 0.0000, 0.7111) and Br at (0.6667, 0.3333, 0.3266).

M_tot readings, ordered: 0.0; 0.0 Bohr magnetons per cell
E readings, ordered: -23.205; -23.771 eV/atom